(1)
DFT (GGA-PBE) results for a relaxed Ga2SiHg crystal.

The calculation puts the raw total energy at -42.080 eV/cell. The calculation puts the total moment at 0.00 μB/cell. The value obtained for the formation energy from raw total energies is 315 meV per atom. The value obtained for the energy above the most stable polymorph in this dataset is 154 meV/atom.

Structure (CIF):
```
data_Ga2SiHg
_cell_length_a 6.8414
_cell_length_b 6.8414
_cell_length_c 6.8414
_cell_angle_alpha 90.00
_cell_angle_beta 90.00
_cell_angle_gamma 90.00
_space_group_name_H-M_alt 'F m -3 m'
_space_group_IT_number 225
_space_group_name_Hall '-F 4 2 3'
loop_
_atom_site_label
_atom_site_fract_x
_atom_site_fract_y
_atom_site_fract_z
Ga1 0.2500 0.2500 0.2500
Si1 0.0000 0.0000 0.0000
Hg1 0.0000 0.0000 0.5000
```

=====

(2)
DFT (GGA-PBE) results for a relaxed LaTcPt2 crystal.

The calculation puts the raw total energy at -79.339 eV/cell. The calculation puts the total moment at 1.42 μB/cell. The value obtained for the energy above the most stable polymorph in this dataset is 544 meV/atom.

Structure (CIF):
```
data_LaTcPt2
_cell_length_a 2.9105
_cell_length_b 2.9105
_cell_length_c 29.9101
_cell_angle_alpha 90.00
_cell_angle_beta 90.00
_cell_angle_gamma 120.00
_space_group_name_H-M_alt 'R 3 m'
_space_group_IT_number 160
_space_group_name_Hall 'R 3 -2"'
loop_
_atom_site_label
_atom_site_fract_x
_atom_site_fract_y
_atom_site_fract_z
La1 0.0000 0.0000 0.0000
Tc1 0.0000 0.0000 0.2384
Pt1 0.0000 0.0000 0.5017
Pt2 0.0000 0.0000 0.7567
```

=====

- Among the records above, which one has the lowest energy above the most stable polymorph in this dataset?
  Ga2SiHg